Computed, not measured: an optimized crystal structure of In2FeRh at the GGA-PBE level of DFT.

As for the size of the total moment: 5.3 μB per cell. As for the volume: 17.51 Å³/atom. The value obtained for the calculated formation energy is 0.11 eV/atom.

It has space group C2/m (No. 12), with a = 8.7791 Å, b = 3.0576 Å, c = 5.3228 Å, α = 90.00°, β = 101.40° and γ = 90.00°. Symmetry generates all atoms from In at (0.2491, 0.0000, 0.2495), Fe at (0.0000, 0.0000, 0.5000) and Rh at (0.0000, 0.5000, 0.0000).

=====

Computed, not measured: an optimized crystal structure of CdSnBr at the GGA-PBE level of DFT.

As for the size of the total moment: 0.0 μB per cell. As for the volume: 33.73 Å³/atom. The calculation puts the uncorrected formation energy at -0.71 eV per formula unit.

It has space group P1 (No. 1), with a = 3.9339 Å, b = 4.5221 Å, c = 6.0932 Å, α = 69.10°, β = 89.38° and γ = 87.91°. Symmetry generates all atoms from Cd at (0.0000, 0.0000, 0.0000), Sn at (0.4999, 0.4644, 0.0748) and Br at (0.4993, 0.2399, 0.5486).

=====

Computed, not measured: an optimized crystal structure of Li2ICl at the GGA-PBE level of DFT.

As for the size of the total moment: 0.0 μB per cell. As for the volume: 27.10 Å³/atom. The calculation puts the uncorrected formation energy at -5.93 eV per formula unit.

It has space group R3m (No. 160, hexagonal axes), with a = 4.2421 Å, b = 4.2421 Å, c = 20.8662 Å, α = 90.00°, β = 90.00° and γ = 120.00°. Symmetry generates all atoms from Li at (0.0000, 0.0000, 0.0000), Li at (0.0000, 0.0000, 0.4765), I at (0.0000, 0.0000, 0.8652) and Cl at (0.0000, 0.0000, 0.3632).